Entry 1:
Below is a relaxed structure of GeTeRu, with properties calculated at the PBE level. Values from VASP.

Geometry as Quantum ESPRESSO input:
```
&SYSTEM
  ibrav = 0, nat = 6, ntyp = 3
/
ATOMIC_SPECIES
Te 127.60 Te.upf
Ge 72.64 Ge.upf
Ru 101.07 Ru.upf
CELL_PARAMETERS angstrom
-1.949 -3.417 -0.485
1.997 -2.757 4.200
-4.733 0.454 3.783
ATOMIC_POSITIONS angstrom
Te -4.160 -3.366 4.238
Te -0.524 -2.354 3.260
Ge -2.465 -2.242 1.076
Ge -2.219 -3.478 6.422
Ru -4.703 -4.468 6.642
Ru 0.019 -1.252 0.856
```

Results
ΔE_f (raw)	-0.0255	eV per atom
crystal system	triclinic
space-group type	P-1, No. 2

=====

Entry 2:
Below is a relaxed structure of Tb2DyZn9, with properties calculated at the PBE level. Values from VASP.

Geometry as Quantum ESPRESSO input:
```
&SYSTEM
  ibrav = 0, nat = 12, ntyp = 3
/
ATOMIC_SPECIES
Zn 65.41 Zn.upf
Tb 158.93 Tb.upf
Dy 162.50 Dy.upf
CELL_PARAMETERS angstrom
5.218 0.000 1.553
2.378 4.645 1.553
0.118 0.072 9.146
ATOMIC_POSITIONS angstrom
Zn 4.392 4.306 4.330
Zn 4.531 2.770 8.711
Zn 2.661 1.627 10.146
Zn 3.183 1.947 3.541
Zn 5.053 3.090 2.106
Zn 3.857 2.358 6.126
Zn 1.880 2.770 7.922
Zn 5.834 1.947 4.330
Zn 3.323 0.411 7.922
Tb 6.585 4.026 6.504
Tb 1.129 0.691 5.748
Dy 0.000 0.000 0.000
```

Results
ΔH_f (0 K)	-0.31	eV/atom
crystal system	trigonal
space-group type	R-3m, No. 166

=====

Entry 3:
Below is a relaxed structure of Te2MoPbI, with properties calculated at the PBE level. Values from VASP.

Geometry as Quantum ESPRESSO input:
```
&SYSTEM
  ibrav = 0, nat = 5, ntyp = 4
/
ATOMIC_SPECIES
Mo 95.94 Mo.upf
Te 127.60 Te.upf
Pb 207.20 Pb.upf
I 126.90 I.upf
CELL_PARAMETERS angstrom
-4.937 2.277 -0.271
-2.102 -4.752 -1.622
-0.933 -1.393 5.291
ATOMIC_POSITIONS angstrom
Mo 0.000 0.000 0.000
Te -1.051 -2.376 -0.811
Te -2.469 1.138 -0.136
Pb -3.986 -1.934 1.699
I -0.467 -0.697 2.646
```

Results
ΔE_f (raw)	0.3126	eV per atom
crystal system	tetragonal
space-group type	P4/mmm, No. 123
excess energy over the best structure of this formula in the dataset	0.00	kcal/mol of atoms

=====

Entry 4:
Below is a relaxed structure of Na16InGa12, with properties calculated at the PBE level. Values from VASP.

Geometry as Quantum ESPRESSO input:
```
&SYSTEM
  ibrav = 0, nat = 29, ntyp = 3
/
ATOMIC_SPECIES
Na 22.99 Na.upf
Ga 69.72 Ga.upf
In 114.82 In.upf
CELL_PARAMETERS angstrom
9.162 -0.085 -3.205
-4.598 7.925 -3.205
-0.046 -0.078 9.507
ATOMIC_POSITIONS angstrom
Na -1.880 3.157 5.256
Na 0.588 5.416 -3.472
Na 6.079 4.990 4.213
Na 1.600 2.749 1.107
Na 6.258 -0.087 1.666
Na 4.419 3.185 -3.472
Na -0.020 -0.034 6.134
Na 1.411 2.424 4.847
Na 5.104 2.392 -0.356
Na 3.674 -0.076 5.256
Na 1.338 7.750 4.213
Na -0.041 -0.071 9.490
Na -3.166 5.399 1.666
Na -0.440 5.620 -0.356
Na -0.208 4.616 2.828
Na 4.117 2.098 2.828
Ga -1.427 7.837 -2.657
Ga 2.444 1.475 -1.691
Ga -3.030 7.880 -0.367
Ga 2.094 6.406 1.401
Ga -2.172 6.441 4.606
Ga 2.890 4.964 3.580
Ga 4.536 4.984 1.401
Ga 7.519 2.629 -2.657
Ga 3.700 6.356 -3.567
Ga 8.348 1.256 -0.367
Ga 6.673 1.292 4.606
Ga 0.076 2.854 -1.691
In 2.777 4.769 -1.090
```

Results
ΔH_f (0 K)	-0.07	eV/atom
crystal system	monoclinic
space-group type	Cm, No. 8

=====

Entry 5:
Below is a relaxed structure of LiBSe, with properties calculated at the PBE level. Values from VASP.

Geometry as Quantum ESPRESSO input:
```
&SYSTEM
  ibrav = 0, nat = 12, ntyp = 3
/
ATOMIC_SPECIES
B 10.81 B.upf
Li 6.94 Li.upf
Se 78.96 Se.upf
CELL_PARAMETERS angstrom
5.603 0.000 0.000
0.000 5.461 -0.002
0.000 -0.188 6.028
ATOMIC_POSITIONS angstrom
B 3.353 0.361 5.879
B 0.551 4.817 3.160
B 5.052 0.455 2.865
B 2.250 4.911 0.147
Li 1.874 1.190 1.966
Li 0.928 1.096 4.980
Li 3.729 4.083 4.059
Li 4.675 4.177 1.046
Se 1.981 3.941 1.938
Se 3.622 1.332 4.087
Se 4.783 1.426 1.073
Se 0.821 3.847 4.952
```

Results
ΔE_f (raw)	-0.3825	eV per atom
crystal system	monoclinic
space-group type	P2_1/c, No. 14

=====

Entry 6:
Below is a relaxed structure of BeNi2W, with properties calculated at the PBE level. Values from VASP.

Geometry as Quantum ESPRESSO input:
```
&SYSTEM
  ibrav = 0, nat = 4, ntyp = 3
/
ATOMIC_SPECIES
Be 9.01 Be.upf
Ni 58.69 Ni.upf
W 183.84 W.upf
CELL_PARAMETERS angstrom
4.683 -0.005 0.127
3.856 2.657 0.127
1.685 0.523 3.683
ATOMIC_POSITIONS angstrom
Be 7.667 2.381 2.953
Ni 4.935 1.533 2.056
Ni 1.861 0.578 3.595
W 2.556 0.794 0.984
```

Results
ΔH_f (0 K)	-0.04	eV/atom
crystal system	orthorhombic
space-group type	Immm, No. 71

=====

Entry 7:
Below is a relaxed structure of ScAgS3, with properties calculated at the PBE level. Values from VASP.

Geometry as Quantum ESPRESSO input:
```
&SYSTEM
  ibrav = 0, nat = 5, ntyp = 3
/
ATOMIC_SPECIES
S 32.06 S.upf
Ag 107.87 Ag.upf
Sc 44.96 Sc.upf
CELL_PARAMETERS angstrom
4.926 0.000 0.000
0.000 4.926 0.000
0.000 0.000 4.926
ATOMIC_POSITIONS angstrom
S 0.000 2.463 0.000
S 0.000 0.000 2.463
S 2.463 0.000 0.000
Ag 2.463 2.463 2.463
Sc 0.000 0.000 0.000
```

Results
ΔE_f (raw)	-0.2847	eV per atom
crystal system	cubic
space-group type	Pm-3m, No. 221
excess energy over the best structure of this formula in the dataset	0.00	kcal/mol of atoms

=====

Entry 8:
Below is a relaxed structure of LiTlInSb, with properties calculated at the PBE level. Values from VASP.

Geometry as Quantum ESPRESSO input:
```
&SYSTEM
  ibrav = 0, nat = 4, ntyp = 4
/
ATOMIC_SPECIES
Li 6.94 Li.upf
Sb 121.76 Sb.upf
In 114.82 In.upf
Tl 204.38 Tl.upf
CELL_PARAMETERS angstrom
-2.916 -3.637 -0.437
4.668 -0.830 0.841
-3.014 1.791 5.208
ATOMIC_POSITIONS angstrom
Li -0.020 -0.598 5.110
Sb -2.129 1.143 4.699
In 0.194 -3.312 1.195
Tl -2.193 -1.569 2.615
```

Results
ΔE_f (raw)	-0.1475	eV per atom
crystal system	monoclinic
space-group type	Cm, No. 8
excess energy over the best structure of this formula in the dataset	0.00	kcal/mol of atoms

=====

Entry 9:
Below is a relaxed structure of Li2Cd2Pd, with properties calculated at the PBE level. Values from VASP.

Geometry as Quantum ESPRESSO input:
```
&SYSTEM
  ibrav = 0, nat = 5, ntyp = 3
/
ATOMIC_SPECIES
Li 6.94 Li.upf
Pd 106.42 Pd.upf
Cd 112.41 Cd.upf
CELL_PARAMETERS angstrom
4.218 0.349 2.632
2.027 3.716 2.632
0.743 0.483 6.403
ATOMIC_POSITIONS angstrom
Li 4.361 1.640 6.740
Li 2.627 2.908 4.926
Pd 1.014 1.858 1.316
Cd 2.851 0.657 3.111
Cd 4.137 3.890 8.555
```

Results
ΔH_f (0 K)	-0.36	eV/atom
crystal system	monoclinic
space-group type	C2/m, No. 12
excess energy over the best structure of this formula in the dataset	0.00	kcal/mol of atoms

=====

Entry 10:
Below is a relaxed structure of Y3InPd, with properties calculated at the PBE level. Values from VASP.

Geometry as Quantum ESPRESSO input:
```
&SYSTEM
  ibrav = 0, nat = 20, ntyp = 3
/
ATOMIC_SPECIES
Y 88.91 Y.upf
In 114.82 In.upf
Pd 106.42 Pd.upf
CELL_PARAMETERS angstrom
7.449 -0.235 -0.176
0.264 8.773 -0.501
0.264 1.998 8.557
ATOMIC_POSITIONS angstrom
Y 6.942 3.442 3.719
Y 2.239 1.374 3.638
Y 1.184 10.118 6.421
Y 4.760 5.879 5.542
Y 2.015 6.776 7.678
Y 3.218 4.657 2.339
Y 6.794 0.418 1.460
Y 1.036 7.094 4.162
Y 5.739 9.162 4.243
Y 4.908 8.900 7.804
Y 3.069 1.636 0.077
Y 5.963 3.760 0.202
In 5.851 3.057 6.773
In 2.127 4.093 5.633
In 2.127 7.479 1.107
In 5.851 6.442 2.248
Pd 6.987 7.471 6.424
Pd 4.715 2.146 2.441
Pd 0.991 3.065 1.456
Pd 3.263 8.390 5.439
```

Results
ΔH_f (0 K)	-0.44	eV/atom
crystal system	orthorhombic
space-group type	Cmce, No. 64
excess energy over the best structure of this formula in the dataset	0.00	kcal/mol of atoms

=====

Entry 11:
Below is a relaxed structure of BaZrIn2Cl8, with properties calculated at the PBE level. Values from VASP.

Geometry as Quantum ESPRESSO input:
```
&SYSTEM
  ibrav = 0, nat = 12, ntyp = 4
/
ATOMIC_SPECIES
Cl 35.45 Cl.upf
Ba 137.33 Ba.upf
Zr 91.22 Zr.upf
In 114.82 In.upf
CELL_PARAMETERS angstrom
6.828 -0.184 -0.006
-0.155 7.291 -0.005
0.002 0.015 8.795
ATOMIC_POSITIONS angstrom
Cl 2.109 1.236 0.004
Cl 0.729 5.757 1.800
Cl 5.937 1.351 1.795
Cl 4.565 5.886 8.780
Cl 0.737 5.771 6.989
Cl 2.395 1.921 4.392
Cl 5.945 1.365 6.984
Cl 4.279 5.201 4.392
Ba 0.001 0.007 4.397
Zr 0.000 0.000 0.000
In 3.337 3.562 6.646
In 3.337 3.560 2.138
```

Results
ΔE_f (raw)	-1.6383	eV per atom
crystal system	triclinic
space-group type	P-1, No. 2

=====

Entry 12:
Below is a relaxed structure of Ba2InIrN, with properties calculated at the PBE level. Values from VASP.

Geometry as Quantum ESPRESSO input:
```
&SYSTEM
  ibrav = 0, nat = 10, ntyp = 4
/
ATOMIC_SPECIES
Ba 137.33 Ba.upf
In 114.82 In.upf
N 14.01 N.upf
Ir 192.22 Ir.upf
CELL_PARAMETERS angstrom
-0.056 -2.374 3.747
7.219 0.762 0.590
-4.941 7.325 4.566
ATOMIC_POSITIONS angstrom
Ba -0.253 2.356 2.802
Ba 5.468 -0.950 3.419
Ba -3.246 6.662 5.485
Ba 2.475 3.356 6.101
In -1.282 3.584 6.190
In 3.505 2.129 2.714
N 0.524 -0.407 3.689
N 1.698 6.120 5.215
Ir 0.083 5.337 4.695
Ir 2.140 0.376 4.209
```

Results
ΔE_f (raw)	-0.3514	eV per atom
crystal system	monoclinic
space-group type	P2_1/m, No. 11
excess energy over the best structure of this formula in the dataset	1.38	kcal/mol of atoms